Entry 1:
Density functional theory data (PBE-GGA) for Co2Pb4Au after structural relaxation.

Results
E_form (eV/atom): 0.60
Fermi-level density of states (states/eV per cell): 9.25

Lattice parameters (Å, degrees): 7.5267 7.5267 7.5267 137.35 137.35 61.91
Closest atoms and distances in Å follow each position.
Sites, in units of the cell vectors:
Co 0.0844 0.0844 0.0000  1 Co 2.18
Co 0.9156 0.9156 0.0000  1 Co 2.18
Pb 0.0000 0.5000 0.5000  2 Au 2.74, 4 Co 2.95
Pb 0.2812 0.2812 0.0000  1 Co 2.54, 1 Au 2.82
Pb 0.5000 0.0000 0.5000  2 Au 2.74, 4 Co 2.95
Pb 0.7188 0.7188 0.0000  1 Co 2.54, 1 Au 2.82
Au 0.5000 0.5000 0.0000  6 Pb 2.74-2.82

=====

Entry 2:
Density functional theory data (PBE-GGA) for CoPb4Au after structural relaxation.

Results
E_form (eV/atom): 0.81
Fermi-level density of states (states/eV per cell): 8.02

Lattice parameters (Å, degrees): 6.2769 6.2769 6.2769 60.00 60.00 60.00
Closest atoms and distances in Å follow each position.
Sites, in units of the cell vectors:
Co 0.0000 0.0000 0.0000  12 Pb 3.68, 4 Au 3.84
Pb 0.1243 0.6252 0.6252  6 Pb 3.13-3.14
Pb 0.6252 0.1243 0.6252  6 Pb 3.13-3.14
Pb 0.6252 0.6252 0.1243  6 Pb 3.13-3.14
Pb 0.6252 0.6252 0.6252  6 Pb 3.13-3.14
Au 0.2500 0.2500 0.2500  12 Pb 3.68, 4 Co 3.84

=====

Entry 3:
Density functional theory data (PBE-GGA) for Co2PbAu2 after structural relaxation.

Results
E_form (eV/atom): 0.32
Excess energy over the best structure of this formula in the dataset (eV/atom): 0.017
Fermi-level density of states (states/eV per cell): 4.27

Lattice parameters (Å, degrees): 8.5536 8.5536 8.5536 157.23 157.23 32.42
Closest atoms and distances in Å follow each position.
Sites, in units of the cell vectors:
Co 0.2500 0.7500 0.5000  4 Co 2.39, 4 Au 2.67
Co 0.7500 0.2500 0.5000  4 Co 2.39, 4 Au 2.67
Pb 0.0000 0.0000 0.0000  8 Au 3.14, 4 Pb 3.38
Au 0.3760 0.3760 0.0000  4 Co 2.67
Au 0.6240 0.6240 0.0000  4 Co 2.67

=====

Entry 4:
Density functional theory data (PBE-GGA) for Co2PbAu2 after structural relaxation.

Results
E_form (eV/atom): 0.38
Excess energy over the best structure of this formula in the dataset (eV/atom): 0.078
Fermi-level density of states (states/eV per cell): 5.90

Lattice parameters (Å, degrees): 6.4230 6.4230 6.4230 143.96 143.96 51.89
Closest atoms and distances in Å follow each position.
Sites, in units of the cell vectors:
Co 0.0958 0.0958 0.0000  1 Co 2.21
Co 0.9042 0.9042 0.0000  1 Co 2.21
Pb 0.5000 0.5000 0.0000  8 Co 3.02
Au 0.2500 0.7500 0.5000  4 Co 2.67, 4 Au 2.81
Au 0.7500 0.2500 0.5000  4 Co 2.67, 4 Au 2.81

=====

Number 1: electronic total energy -4.0212 eV per atom. Number 2: electronic total energy -3.3959 eV per atom. Number 3: electronic total energy -4.5793 eV per atom. Number 4: electronic total energy -4.5190 eV per atom.